Entry A
Crystalline Zn2Cu8Pd at its relaxed geometry, computed with GGA-PBE.

The value obtained for the mass density is 8.59 g/cm3.

Unit cell a=7.4433 b=11.4586 c=3.9856 alpha=90.00 beta=122.04 gamma=90.00
Space group Cm (No. 8)
One atom of each set of equivalent atoms:
1 Zn 0.0000 0.1448 0.0000 x4
2 Cu 0.2033 0.5000 0.7031 x2
3 Cu 0.2090 0.3430 0.2076 x4
4 Cu 0.2097 0.1992 0.7088 x4
5 Cu 0.4269 0.1538 0.4253 x4
6 Cu 0.4878 0.5000 0.4884 x2
7 Pd 0.4067 0.0000 0.9059 x2


Entry B
Crystalline Zn2Cu8Pd at its relaxed geometry, computed with GGA-PBE.

The value obtained for the mass density is 8.42 g/cm3.

Unit cell a=6.7330 b=11.7264 c=4.3837 alpha=90.00 beta=121.85 gamma=90.00
Space group C2/m (No. 12)
One atom of each set of equivalent atoms:
1 Zn 0.0000 0.1902 0.0000 x4
2 Cu 0.0000 0.2844 0.5000 x4
3 Cu 0.0728 0.0000 0.3057 x4
4 Cu 0.2106 0.3851 0.1484 x8
5 Pd 0.0000 0.5000 0.5000 x2


The data favor entry A; the next most stable structure lies 0.072 eV/atom above it.


Entry A
Crystalline Zn3CuPd6 at its relaxed geometry, computed with GGA-PBE.

The value obtained for the mass density is 9.78 g/cm3.

Unit cell a=8.5935 b=14.8364 c=4.7836 alpha=90.00 beta=90.00 gamma=90.00
Space group Cmc2_1 (No. 36)
One atom of each set of equivalent atoms:
1 Zn 0.0000 0.1076 0.0000 x4
2 Zn 0.1548 0.3995 0.3117 x8
3 Cu 0.0000 0.2804 0.0325 x4
4 Pd 0.0000 0.1989 0.5408 x4
5 Pd 0.0000 0.4405 0.8058 x4
6 Pd 0.1649 0.0412 0.4297 x8
7 Pd 0.2449 0.2981 0.7073 x8


Entry B
Crystalline Zn3CuPd6 at its relaxed geometry, computed with GGA-PBE.

The value obtained for the mass density is 10.21 g/cm3.

Unit cell a=7.5300 b=4.3459 c=9.2696 alpha=90.00 beta=105.55 gamma=90.00
Space group P2_1/m (No. 11)
One atom of each set of equivalent atoms:
1 Zn 0.0462 0.2500 0.3967 x2
2 Zn 0.1469 0.7500 0.2048 x2
3 Zn 0.2650 0.2500 0.9880 x2
4 Cu 0.4487 0.2500 0.5993 x2
5 Pd 0.0391 0.7500 0.9063 x2
6 Pd 0.1412 0.2500 0.6906 x2
7 Pd 0.2498 0.7500 0.4955 x2
8 Pd 0.3423 0.2500 0.3012 x2
9 Pd 0.3501 0.7500 0.8014 x2
10 Pd 0.4315 0.7500 0.1077 x2


The data favor entry B; the next most stable structure lies 0.166 eV/atom above it.


Entry A
Crystalline ZnCu2Pd5 at its relaxed geometry, computed with GGA-PBE.

The value obtained for the mass density is 10.21 g/cm3.

Unit cell a=6.5330 b=6.5330 c=11.0450 alpha=90.00 beta=90.00 gamma=90.00
Space group I4/mcm (No. 140)
One atom of each set of equivalent atoms:
1 Zn 0.0000 0.0000 0.2500 x4
2 Cu 0.1381 0.3619 0.0000 x8
3 Pd 0.0000 0.0000 0.0000 x4
4 Pd 0.1545 0.3455 0.3433 x16


Entry B
Crystalline ZnCu2Pd5 at its relaxed geometry, computed with GGA-PBE.

The value obtained for the mass density is 10.42 g/cm3.

Unit cell a=5.3706 b=10.6668 c=4.0308 alpha=90.00 beta=90.00 gamma=90.00
Space group Pbam (No. 55)
One atom of each set of equivalent atoms:
1 Zn 0.0000 0.0000 0.0000 x2
2 Cu 0.1949 0.3671 0.5000 x4
3 Pd 0.0000 0.5000 0.0000 x2
4 Pd 0.0675 0.7572 0.0000 x4
5 Pd 0.1979 0.1142 0.5000 x4


The data favor entry B; the next most stable structure lies 0.082 eV/atom above it.


Entry A
Crystalline ZnCuPd3 at its relaxed geometry, computed with GGA-PBE.

The value obtained for the mass density is 7.72 g/cm3.

Unit cell a=4.5845 b=4.5845 c=4.5845 alpha=90.00 beta=90.00 gamma=90.00
Space group Pm-3m (No. 221)
One atom of each set of equivalent atoms:
1 Zn 0.0000 0.0000 0.0000 x1
2 Cu 0.5000 0.5000 0.5000 x1
3 Pd 0.0000 0.5000 0.5000 x3


Entry B
Crystalline ZnCuPd3 at its relaxed geometry, computed with GGA-PBE.

The value obtained for the mass density is 10.34 g/cm3.

Unit cell a=4.1260 b=4.1335 c=8.6907 alpha=90.00 beta=103.81 gamma=90.00
Space group P2_1/m (No. 11)
One atom of each set of equivalent atoms:
1 Zn 0.1523 0.2500 0.3042 x2
2 Cu 0.3477 0.2500 0.6960 x2
3 Pd 0.0569 0.7500 0.1140 x2
4 Pd 0.2496 0.7500 0.4996 x2
5 Pd 0.4432 0.7500 0.8863 x2


Entry C
Crystalline ZnCuPd3 at its relaxed geometry, computed with GGA-PBE.

The value obtained for the mass density is 9.94 g/cm3.

Unit cell a=10.8287 b=8.7014 c=7.8693 alpha=90.00 beta=126.08 gamma=90.00
Space group C2/c (No. 15)
One atom of each set of equivalent atoms:
1 Zn 0.0000 0.0514 0.2500 x4
2 Zn 0.0000 0.3496 0.7500 x4
3 Cu 0.1075 0.3083 0.2346 x8
4 Pd 0.1133 0.1484 0.6205 x8
5 Pd 0.1481 0.4541 0.5523 x8
6 Pd 0.1915 0.1366 0.0442 x8


The data favor entry B; the next most stable structure lies 0.135 eV/atom above it.


Entry A
Crystalline ZnCu2Pd6 at its relaxed geometry, computed with GGA-PBE.

The value obtained for the mass density is 10.58 g/cm3.

Unit cell a=3.9884 b=10.9039 c=11.9917 alpha=90.00 beta=90.00 gamma=90.00
Space group Fmmm (No. 69)
One atom of each set of equivalent atoms:
1 Zn 0.0000 0.0000 0.0000 x4
2 Cu 0.0000 0.0000 0.3301 x8
3 Pd 0.0000 0.1574 0.5000 x8
4 Pd 0.0000 0.1590 0.1662 x16


Entry B
Crystalline ZnCu2Pd6 at its relaxed geometry, computed with GGA-PBE.

The value obtained for the mass density is 10.54 g/cm3.

Unit cell a=8.4430 b=3.9465 c=8.1223 alpha=90.00 beta=104.61 gamma=90.00
Space group C2/m (No. 12)
One atom of each set of equivalent atoms:
1 Zn 0.0000 0.0000 0.0000 x2
2 Cu 0.1732 0.5000 0.2259 x4
3 Pd 0.0025 0.0000 0.3243 x4
4 Pd 0.1621 0.5000 0.8955 x4
5 Pd 0.1664 0.5000 0.5559 x4


The data favor entry A; the next most stable structure lies 0.017 eV/atom above it.